[1]
This record from Alexandria describes Li3HPt at its PBEsol-relaxed geometry. The functional is meta-GGA SCAN.

Lattice parameters (Å, degrees): 3.7977 3.7977 3.7977 90.00 90.00 90.00
With the nearest neighbours (Å) after each atom.
Fractional coordinates of all 5 atoms:
Li1 0.0000 0.0000 0.5000  2 H 1.90
Li2 0.0000 0.5000 0.0000  2 H 1.90
Li3 0.5000 0.0000 0.0000  2 H 1.90
H1 0.0000 0.0000 0.0000  6 Li 1.90
Pt1 0.5000 0.5000 0.5000  12 Li 2.69

Results
- D(E_F) (states/eV per atom) = 0.01
- space group = No. 221
- E (eV per atom) = -16.604

[2]
This record from Alexandria describes ZrSN2Cl at its PBEsol-relaxed geometry. The functional is meta-GGA SCAN.

Lattice parameters (Å, degrees): 3.8507 3.8507 4.2565 90.00 90.00 90.00
With the nearest neighbours (Å) after each atom.
Fractional coordinates of all 5 atoms:
Zr1 0.0000 0.0000 0.0000  4 S 2.72, 8 N 2.87
S1 0.5000 0.5000 0.0000  2 Cl 2.13
N1 0.0000 0.5000 0.5000  2 Cl 1.93
N2 0.5000 0.0000 0.5000  2 Cl 1.93
Cl1 0.5000 0.5000 0.5000  4 N 1.93, 2 S 2.13

Results
- D(E_F) (states/eV per atom) = 0.18
- space group = No. 123
- E (eV per atom) = -12.114

[3]
This record from Alexandria describes NaMnGeS2 at its PBEsol-relaxed geometry. The functional is meta-GGA SCAN.

Lattice parameters (Å, degrees): 4.8323 4.8323 4.9434 90.00 90.00 90.00
With the nearest neighbours (Å) after each atom.
Fractional coordinates of all 5 atoms:
Na1 0.0000 0.0000 0.0000  2 Ge 2.47
Mn1 0.5000 0.5000 0.0000  4 Na 3.42, 8 S 3.46
Ge1 0.0000 0.0000 0.5000  4 S 2.42, 2 Na 2.47
S1 0.0000 0.5000 0.5000  2 Ge 2.42
S2 0.5000 0.0000 0.5000  2 Ge 2.42

Results
- D(E_F) (states/eV per atom) = 0.43
- space group = No. 123
- E (eV per atom) = -11.773

What is the D(E_F) in the second record?
0.18 states/eV per atom

The highest E belongs to which entry?
NaMnGeS2